{
  "formula": "Cu2SiRh",
  "functional": "meta-GGA SCAN",
  "state": "PBEsol geometry",
  "cell": [[2.9981, 0.0000, 0.0000], [0.0000, 2.9981, 0.0000], [0.0000, 0.0000, 5.3906]],
  "species": ["Cu", "Cu", "Si", "Rh"],
  "fractional_positions": [[0.0000, 0.0000, 0.0000], [0.5000, 0.5000, 0.2175], [0.0000, 0.0000, 0.4752], [0.5000, 0.5000, 0.7005]],
  "space_group": "P4mm (99)",
  "formation_energy_uncorrected_ev_per_atom": -0.30,
  "density_g_cm3": 8.8
}

---

{
  "formula": "KTl3Sb",
  "functional": "meta-GGA SCAN",
  "state": "PBEsol geometry",
  "cell": [[5.9065, 0.0000, 0.0000], [0.0000, 5.9065, 0.0000], [0.0000, 0.0000, 5.9065]],
  "species": ["K", "Tl", "Tl", "Tl", "Sb"],
  "fractional_positions": [[0.0000, 0.0000, 0.0000], [0.0000, 0.5000, 0.5000], [0.5000, 0.0000, 0.5000], [0.5000, 0.5000, 0.0000], [0.5000, 0.5000, 0.5000]],
  "space_group": "Pm-3m (221)",
  "polymorph_energy_ev_per_atom": 0.000,
  "formation_energy_uncorrected_ev_per_atom": 0.13,
  "density_g_cm3": 6.2
}

---

{
  "formula": "CdAsP2",
  "functional": "meta-GGA SCAN",
  "state": "PBEsol geometry",
  "cell": [[3.2081, 0.0000, 0.0000], [0.0000, 3.2081, 0.0000], [0.0000, 0.0000, 6.7347]],
  "species": ["Cd", "As", "P", "P"],
  "fractional_positions": [[0.0000, 0.0000, 0.0000], [0.0000, 0.0000, 0.5000], [0.5000, 0.5000, 0.2792], [0.5000, 0.5000, 0.7208]],
  "space_group": "P4/mmm (123)",
  "polymorph_energy_ev_per_atom": 0.000,
  "formation_enthalpy_0k_ev_per_atom": 0.59,
  "density_g_cm3": 6.0
}

---

{
  "formula": "Tl2PbAu",
  "functional": "meta-GGA SCAN",
  "state": "PBEsol geometry",
  "cell": [[1.7536, 1.0124, 9.6990], [-1.7536, 1.0124, 9.6990], [0.0000, -2.0249, 9.6990]],
  "species": ["Tl", "Tl", "Pb", "Au"],
  "fractional_positions": [[0.2386, 0.2386, 0.2386], [0.7614, 0.7614, 0.7614], [0.0000, 0.0000, 0.0000], [0.5000, 0.5000, 0.5000]],
  "space_group": "R-3m (166)",
  "formation_enthalpy_0k_ev_per_atom": 0.04,
  "density_g_cm3": 13.1
}

---

{
  "formula": "LaMo2C2",
  "functional": "meta-GGA SCAN",
  "state": "PBEsol geometry",
  "cell": [[-2.0466, 2.0466, 4.1496], [2.0466, -2.0466, 4.1496], [2.0466, 2.0466, -4.1496]],
  "species": ["La", "Mo", "Mo", "C", "C"],
  "fractional_positions": [[0.0000, 0.0000, 0.0000], [0.3447, 0.3447, 0.0000], [0.6553, 0.6553, 0.0000], [0.2500, 0.7500, 0.5000], [0.7500, 0.2500, 0.5000]],
  "space_group": "I4/mmm (139)",
  "formation_enthalpy_0k_ev_per_atom": 0.31,
  "density_g_cm3": 8.5
}

---

{
  "formula": "LaCrIr2",
  "functional": "meta-GGA SCAN",
  "state": "PBEsol geometry",
  "cell": [[-2.1402, 2.1402, 3.8156], [2.1402, -2.1402, 3.8156], [2.1402, 2.1402, -3.8156]],
  "species": ["La", "Cr", "Ir", "Ir"],
  "fractional_positions": [[0.0000, 0.0000, 0.0000], [0.5000, 0.5000, 0.0000], [0.2500, 0.7500, 0.5000], [0.7500, 0.2500, 0.5000]],
  "space_group": "I4/mmm (139)",
  "formation_enthalpy_0k_ev_per_atom": -0.10,
  "density_g_cm3": 13.7
}

---

{
  "formula": "Sc2ZnIr",
  "functional": "meta-GGA SCAN",
  "state": "PBEsol geometry",
  "cell": [[4.6190, 0.0000, 0.0000], [0.0000, 4.6190, 0.0000], [0.0000, 0.0000, 3.1622]],
  "species": ["Sc", "Sc", "Zn", "Ir"],
  "fractional_positions": [[0.0000, 0.5000, 0.0000], [0.5000, 0.0000, 0.0000], [0.0000, 0.0000, 0.5000], [0.5000, 0.5000, 0.5000]],
  "space_group": "P4/mmm (123)",
  "polymorph_energy_ev_per_atom": 0.016,
  "formation_enthalpy_0k_ev_per_atom": -0.88,
  "density_g_cm3": 8.6
}

---

{
  "formula": "Ga3NiTe",
  "functional": "meta-GGA SCAN",
  "state": "PBEsol geometry",
  "cell": [[5.2238, 0.0000, 0.0000], [0.0000, 5.2238, 0.0000], [0.0000, 0.0000, 5.2238]],
  "species": ["Ga", "Ga", "Ga", "Ni", "Te"],
  "fractional_positions": [[0.0000, 0.0000, 0.5000], [0.0000, 0.5000, 0.0000], [0.5000, 0.0000, 0.0000], [0.5000, 0.5000, 0.5000], [0.0000, 0.0000, 0.0000]],
  "space_group": "Pm-3m (221)",
  "formation_energy_uncorrected_ev_per_atom": 1.26,
  "density_g_cm3": 4.6
}

---

{
  "formula": "ScFe2CF",
  "functional": "meta-GGA SCAN",
  "state": "PBEsol geometry",
  "cell": [[4.8024, 0.0000, 0.0000], [0.0000, 4.8024, 0.0000], [0.0000, 0.0000, 3.9101]],
  "species": ["Sc", "Fe", "Fe", "C", "F"],
  "fractional_positions": [[0.0000, 0.0000, 0.0000], [0.0000, 0.5000, 0.0000], [0.5000, 0.0000, 0.0000], [0.0000, 0.0000, 0.5000], [0.5000, 0.5000, 0.5000]],
  "space_group": "P4/mmm (123)",
  "formation_energy_uncorrected_ev_per_atom": 1.59,
  "density_g_cm3": 3.5
}

---

{
  "formula": "LiFeP4O12",
  "functional": "meta-GGA SCAN",
  "state": "PBEsol geometry",
  "cell": [[5.0035, 0.0000, 0.0000], [0.0000, 12.9307, 0.0000], [-1.1554, 0.0000, 7.0398]],
  "species": ["Li", "Li", "Fe", "Fe", "P", "P", "P", "P", "P", "P", "P", "P", "O", "O", "O", "O", "O", "O", "O", "O", "O", "O", "O", "O", "O", "O", "O", "O", "O", "O", "O", "O", "O", "O", "O", "O"],
  "fractional_positions": [[0.1055, 0.0000, 0.1216], [0.8945, 0.5000, 0.8784], [0.0087, 0.6705, 0.5818], [0.9913, 0.1705, 0.4182], [0.2728, 0.7814, 0.9511], [0.3571, 0.1342, 0.8196], [0.4729, 0.5389, 0.5094], [0.4809, 0.3147, 0.3910], [0.5191, 0.8147, 0.6090], [0.5271, 0.0389, 0.4906], [0.6429, 0.6342, 0.1804], [0.7272, 0.2814, 0.0489], [0.1058, 0.1602, 0.6810], [0.1070, 0.8627, 0.0211], [0.1438, 0.6862, 0.8471], [0.1876, 0.2954, 0.4051], [0.2044, 0.5427, 0.5803], [0.2860, 0.0869, 0.3647], [0.3142, 0.7383, 0.5152], [0.3282, 0.0731, 0.9888], [0.4339, 0.5746, 0.2951], [0.4411, 0.9209, 0.5018], [0.4763, 0.8352, 0.8214], [0.4864, 0.7409, 0.1278], [0.5136, 0.2409, 0.8722], [0.5237, 0.3352, 0.1786], [0.5589, 0.4209, 0.4982], [0.5661, 0.0746, 0.7049], [0.6718, 0.5731, 0.0112], [0.6858, 0.2383, 0.4848], [0.7140, 0.5869, 0.6353], [0.7956, 0.0427, 0.4197], [0.8124, 0.7954, 0.5949], [0.8562, 0.1862, 0.1529], [0.8930, 0.3627, 0.9789], [0.8942, 0.6602, 0.3190]],
  "space_group": "P2_1 (4)",
  "polymorph_energy_ev_per_atom": 0.039,
  "formation_energy_uncorrected_ev_per_atom": -2.26,
  "density_g_cm3": 2.8
}

---

{
  "formula": "Re2MoCl",
  "functional": "meta-GGA SCAN",
  "state": "PBEsol geometry",
  "cell": [[2.8458, 0.0000, 0.0000], [0.0000, 4.1312, 0.0000], [-1.2916, 0.0000, 4.9995]],
  "species": ["Re", "Re", "Mo", "Cl"],
  "fractional_positions": [[0.1587, 0.0000, 0.2512], [0.8413, 0.0000, 0.7488], [0.5000, 0.5000, 0.0000], [0.5000, 0.5000, 0.5000]],
  "space_group": "P2/m (10)",
  "polymorph_energy_ev_per_atom": 0.192,
  "formation_energy_uncorrected_ev_per_atom": 0.76,
  "density_g_cm3": 14.2
}

---

{
  "formula": "Ta2OsRu",
  "functional": "meta-GGA SCAN",
  "state": "PBEsol geometry",
  "cell": [[3.0287, 0.0000, 0.0000], [0.0000, 3.4074, 0.0000], [0.0000, 0.0000, 6.0603]],
  "species": ["Ta", "Ta", "Os", "Ru"],
  "fractional_positions": [[0.0000, 0.0000, 0.2492], [0.0000, 0.0000, 0.7508], [0.5000, 0.5000, 0.5000], [0.5000, 0.5000, 0.0000]],
  "space_group": "Pmmm (47)",
  "polymorph_energy_ev_per_atom": 0.007,
  "formation_enthalpy_0k_ev_per_atom": -0.38,
  "density_g_cm3": 17.3
}

---

{
  "formula": "SrNi2Sb2",
  "functional": "meta-GGA SCAN",
  "state": "PBEsol geometry",
  "cell": [[-2.1954, 2.1954, 5.3515], [2.1954, -2.1954, 5.3515], [2.1954, 2.1954, -5.3515]],
  "species": ["Sr", "Ni", "Ni", "Sb", "Sb"],
  "fractional_positions": [[0.0000, 0.0000, 0.0000], [0.2500, 0.7500, 0.5000], [0.7500, 0.2500, 0.5000], [0.3605, 0.3605, 0.0000], [0.6395, 0.6395, 0.0000]],
  "space_group": "I4/mmm (139)",
  "formation_energy_uncorrected_ev_per_atom": -0.57,
  "density_g_cm3": 7.2
}

---

{
  "formula": "BeBiSeN2",
  "functional": "meta-GGA SCAN",
  "state": "PBEsol geometry",
  "cell": [[4.1594, 0.0000, 0.0000], [0.0000, 4.1594, 0.0000], [0.0000, 0.0000, 5.8452]],
  "species": ["Be", "Bi", "Se", "N", "N"],
  "fractional_positions": [[0.0000, 0.0000, 0.0000], [0.5000, 0.5000, 0.5000], [0.5000, 0.5000, 0.0000], [0.0000, 0.5000, 0.5000], [0.5000, 0.0000, 0.5000]],
  "space_group": "P4/mmm (123)",
  "formation_energy_uncorrected_ev_per_atom": 1.90,
  "density_g_cm3": 5.3
}

---

{
  "formula": "Li11Ti24O48",
  "functional": "meta-GGA SCAN",
  "state": "PBEsol geometry",
  "cell": [[5.1199, -8.8683, 0.0000], [5.1199, 8.8683, 0.0000], [-3.4138, 0.0000, 9.6531]],
  "species": ["Li", "Li", "Li", "Li", "Li", "Li", "Li", "Li", "Li", "Li", "Li", "Ti", "Ti", "Ti", "Ti", "Ti", "Ti", "Ti", "Ti", "Ti", "Ti", "Ti", "Ti", "Ti", "Ti", "Ti", "Ti", "Ti", "Ti", "Ti", "Ti", "Ti", "Ti", "Ti", "Ti", "O", "O", "O", "O", "O", "O", "O", "O", "O", "O", "O", "O", "O", "O", "O", "O", "O", "O", "O", "O", "O", "O", "O", "O", "O", "O", "O", "O", "O", "O", "O", "O", "O", "O", "O", "O", "O", "O", "O", "O", "O", "O", "O", "O", "O", "O", "O", "O"],
  "fractional_positions": [[0.0000, 0.0000, 0.0000], [0.1652, 0.8345, 0.4963], [0.2904, 0.9575, 0.8723], [0.3323, 0.6654, 0.9975], [0.4572, 0.7905, 0.3723], [0.4960, 0.4960, 0.4964], [0.6237, 0.6237, 0.8723], [0.6654, 0.3323, 0.9975], [0.7905, 0.4572, 0.3723], [0.8345, 0.1652, 0.4963], [0.9575, 0.2904, 0.8723], [0.0611, 0.5609, 0.1838], [0.0623, 0.0623, 0.6840], [0.0625, 0.5630, 0.6848], [0.1443, 0.4767, 0.4337], [0.2274, 0.3929, 0.6834], [0.2272, 0.3936, 0.1861], [0.2282, 0.8965, 0.1860], [0.3122, 0.3122, 0.9350], [0.3929, 0.2274, 0.6834], [0.3936, 0.2272, 0.1861], [0.3939, 0.7284, 0.6848], [0.4767, 0.1443, 0.4337], [0.5609, 0.0611, 0.1838], [0.5613, 0.5613, 0.1840], [0.5630, 0.0625, 0.6848], [0.6442, 0.9782, 0.9353], [0.7284, 0.3939, 0.6848], [0.7278, 0.8935, 0.6853], [0.7300, 0.8953, 0.1861], [0.8122, 0.8122, 0.4339], [0.8935, 0.7278, 0.6853], [0.8953, 0.7300, 0.1861], [0.8965, 0.2282, 0.1860], [0.9782, 0.6442, 0.9353], [0.0048, 0.8545, 0.5665], [0.0216, 0.8383, 0.0656], [0.0255, 0.3592, 0.0772], [0.0382, 0.3723, 0.5662], [0.0845, 0.7517, 0.8040], [0.0968, 0.7631, 0.2911], [0.1004, 0.2885, 0.3019], [0.1173, 0.2681, 0.8047], [0.1722, 0.6883, 0.0657], [0.1884, 0.6731, 0.5658], [0.1944, 0.1944, 0.5839], [0.2051, 0.2051, 0.0657], [0.2517, 0.5859, 0.3034], [0.2636, 0.5974, 0.7916], [0.2681, 0.1173, 0.8047], [0.2885, 0.1004, 0.3019], [0.3388, 0.5226, 0.5662], [0.3551, 0.5056, 0.0659], [0.3592, 0.0255, 0.0772], [0.3723, 0.0382, 0.5662], [0.4189, 0.4189, 0.8043], [0.4306, 0.4306, 0.2912], [0.4351, 0.9501, 0.3034], [0.4507, 0.9349, 0.8036], [0.5056, 0.3551, 0.0659], [0.5226, 0.3388, 0.5662], [0.5260, 0.8592, 0.5783], [0.5378, 0.8712, 0.0657], [0.5859, 0.2517, 0.3034], [0.5974, 0.2636, 0.7916], [0.6005, 0.7838, 0.8040], [0.6161, 0.7668, 0.3036], [0.6731, 0.1884, 0.5658], [0.6883, 0.1722, 0.0657], [0.6918, 0.6918, 0.0772], [0.7039, 0.7039, 0.5661], [0.7517, 0.0845, 0.8040], [0.7631, 0.0968, 0.2911], [0.7668, 0.6161, 0.3036], [0.7838, 0.6005, 0.8040], [0.8383, 0.0216, 0.0656], [0.8545, 0.0048, 0.5665], [0.8592, 0.5260, 0.5783], [0.8712, 0.5378, 0.0657], [0.9124, 0.9124, 0.3019], [0.9301, 0.9301, 0.7922], [0.9349, 0.4507, 0.8036], [0.9501, 0.4351, 0.3034]],
  "space_group": "Cm (8)",
  "formation_energy_uncorrected_ev_per_atom": -3.12,
  "density_g_cm3": 3.8
}

---

{
  "formula": "CuReSe2",
  "functional": "meta-GGA SCAN",
  "state": "PBEsol geometry",
  "cell": [[3.0668, 0.0000, 0.0000], [0.0000, 3.0668, 0.0000], [0.0000, 0.0000, 6.4735]],
  "species": ["Cu", "Re", "Se", "Se"],
  "fractional_positions": [[0.0000, 0.0000, 0.0000], [0.0000, 0.0000, 0.5000], [0.5000, 0.5000, 0.2603], [0.5000, 0.5000, 0.7397]],
  "space_group": "P4/mmm (123)",
  "polymorph_energy_ev_per_atom": 0.274,
  "formation_energy_uncorrected_ev_per_atom": 0.49,
  "density_g_cm3": 11.1
}

---

{
  "formula": "YIn2Co2",
  "functional": "meta-GGA SCAN",
  "state": "PBEsol geometry",
  "cell": [[-2.0972, 2.0972, 5.1934], [2.0972, -2.0972, 5.1934], [2.0972, 2.0972, -5.1934]],
  "species": ["Y", "In", "In", "Co", "Co"],
  "fractional_positions": [[0.0000, 0.0000, 0.0000], [0.2500, 0.7500, 0.5000], [0.7500, 0.2500, 0.5000], [0.3993, 0.3993, 0.0000], [0.6007, 0.6007, 0.0000]],
  "space_group": "I4/mmm (139)",
  "formation_enthalpy_0k_ev_per_atom": -0.05,
  "density_g_cm3": 7.9
}

---

{
  "formula": "AlCuTc2",
  "functional": "meta-GGA SCAN",
  "state": "PBEsol geometry",
  "cell": [[2.5663, -4.1570, 0.0000], [2.5663, 4.1570, 0.0000], [-0.6880, 0.0000, 2.5181]],
  "species": ["Al", "Cu", "Tc", "Tc"],
  "fractional_positions": [[0.0000, 0.0000, 0.0000], [0.5000, 0.5000, 0.0000], [0.0000, 0.5000, 0.5000], [0.5000, 0.0000, 0.5000]],
  "space_group": "C2/m (12)",
  "formation_enthalpy_0k_ev_per_atom": -0.06,
  "density_g_cm3": 8.9
}

---

{
  "formula": "Y2TlHg",
  "functional": "meta-GGA SCAN",
  "state": "PBEsol geometry",
  "cell": [[3.6746, 0.0000, 0.0000], [0.0000, 3.6746, 0.0000], [0.0000, 0.0000, 7.4752]],
  "species": ["Y", "Y", "Tl", "Hg"],
  "fractional_positions": [[0.0000, 0.0000, 0.2428], [0.0000, 0.0000, 0.7572], [0.5000, 0.5000, 0.5000], [0.5000, 0.5000, 0.0000]],
  "space_group": "P4/mmm (123)",
  "formation_enthalpy_0k_ev_per_atom": -0.70,
  "density_g_cm3": 9.6
}

---

{
  "formula": "Be2SiAs",
  "functional": "meta-GGA SCAN",
  "state": "PBEsol geometry",
  "cell": [[4.4107, 0.0000, 0.0000], [0.0000, 1.8469, 3.5346], [0.0000, -1.8469, 3.5346]],
  "species": ["Be", "Be", "Si", "As"],
  "fractional_positions": [[0.0000, 0.0000, 0.0000], [0.5000, 0.1601, 0.1601], [0.0000, 0.3136, 0.3136], [0.5000, 0.8426, 0.8426]],
  "space_group": "Amm2 (38)",
  "polymorph_energy_ev_per_atom": 0.000,
  "formation_energy_uncorrected_ev_per_atom": 0.16,
  "density_g_cm3": 3.5
}